This record from Alexandria via LeMat-Bulk describes crystalline PrHoAlIn at its relaxed geometry. The functional is PBE-GGA.

Calculated values
Distance to the lowest polymorph of the same formula: 0 meV/atom
Volume: 26.36 Å³/atom
Symmetry: No. 99
E_tot: -17.515 eV for the cell shown
Density of states at the Fermi level: 2.14 states/eV/f.u.
Total magnetic moment: 0.000 μB per cell

Structure (POSCAR):
```
PrHoAlIn
1.0
3.734 0.000 0.000
0.000 3.734 0.000
0.000 0.000 7.563
Pr Ho Al In
1 1 1 1
Direct
0.000 0.000 0.000 Pr
0.000 0.000 0.479 Ho
0.500 0.500 0.257 Al
0.500 0.500 0.722 In
```